A geometry-optimized HfCOF2 structure. Source: the Alexandria database, functional PBE-GGA.

a b c (Å): 4.4385 4.4385 2.9761
angles (deg): 90.00 90.00 90.00
With the nearest neighbours (Å) after each atom.
Space group P4/mmm (No. 123)
Symmetry-distinct sites (fractional):
Hf1 0.0000 0.0000 0.0000 (multiplicity 1)  8 F 2.67, 2 Hf 2.98
C1 0.5000 0.5000 0.5000 (multiplicity 1)  2 O 1.49
O1 0.5000 0.5000 0.0000 (multiplicity 1)  2 C 1.49
F1 0.0000 0.5000 0.5000 (multiplicity 2)  2 C 2.22

## Properties
Offset from the most stable computed form ... 1288 meV/atom
Uncorrected energy ... -5.6123 eV/atom
Formation energy without anion corrections ... -0.037 eV/atom